Pm2TmU2Ru5: relaxed, PBE.

Its formation energy is -241.7 kJ/mol of formula units. As for the space group: P4/mbm. The value obtained for the density of states at the Fermi level is 0.724 states/eV/atom. The total energy is -8.54 eV/atom.

```
Pm2TmU2Ru5
1.0
3.541 0.000 0.000
0.000 10.770 0.000
0.000 0.000 10.770
Tm Pm Ru U
2 4 10 4
Direct
0.000 0.000 0.000
0.000 0.500 0.500
0.000 0.825 0.675
0.000 0.175 0.325
0.000 0.325 0.825
0.000 0.675 0.175
0.500 0.713 0.449
0.500 0.787 0.949
0.500 0.551 0.713
0.500 0.051 0.787
0.500 0.213 0.051
0.500 0.449 0.287
0.500 0.287 0.551
0.500 0.500 0.000
0.500 0.949 0.213
0.500 0.000 0.500
0.000 0.863 0.363
0.000 0.637 0.863
0.000 0.363 0.137
0.000 0.137 0.637
```